Entry 1:
The following is a GGA-PBEsol calculation of a geometry-optimized Ba2CdS3 structure, from the Alexandria database.

It has space group Pnma (No. 62), with a = 8.886 Å, b = 4.322 Å, c = 17.143 Å, α = 90.00°, β = 90.00° and γ = 90.00°. The distinct sites, in fractional coordinates, are Ba at (0.079, 0.250, 0.215), Ba at (0.236, 0.250, 0.958), Cd at (0.122, 0.250, 0.631), S at (0.015, 0.250, 0.405), S at (0.119, 0.750, 0.072) and S at (0.184, 0.250, 0.775).

For the uncorrected formation energy, the calculation gives -1.636 eV per atom. Its crystal system is orthorhombic.

***

Entry 2:
The following is a GGA-PBEsol calculation of a geometry-optimized AgMo2Pb structure, from the Alexandria database.

It has space group P4/mmm (No. 123), with a = 3.934 Å, b = 3.934 Å, c = 4.487 Å, α = 90.00°, β = 90.00° and γ = 90.00°. The distinct sites, in fractional coordinates, are Ag at (0.000, 0.000, 0.000), Mo at (0.000, 0.500, 0.500) and Pb at (0.500, 0.500, 0.000).

The formation energy is 0.698 eV/atom. Its crystal system is tetragonal.

***

Entry 3:
The following is a GGA-PBEsol calculation of a geometry-optimized Zr2Si2W structure, from the Alexandria database.

It has space group P4/mbm (No. 127), with a = 6.663 Å, b = 6.663 Å, c = 3.750 Å, α = 90.00°, β = 90.00° and γ = 90.00°. The distinct sites, in fractional coordinates, are Zr at (0.174, 0.326, 0.000), Si at (0.128, 0.628, 0.500) and W at (0.000, 0.000, 0.500).

For the uncorrected formation energy, the calculation gives -0.802 eV per atom. Its crystal system is tetragonal.

***

Entry 4:
The following is a GGA-PBEsol calculation of a geometry-optimized SrYMn3 structure, from the Alexandria database.

It has space group Pm-3m (No. 221), with a = 5.077 Å, b = 5.077 Å, c = 5.077 Å, α = 90.00°, β = 90.00° and γ = 90.00°. The distinct sites, in fractional coordinates, are Sr at (0.000, 0.000, 0.000), Y at (0.500, 0.500, 0.500) and Mn at (0.000, 0.500, 0.500).

The formation energy is 1.277 eV/atom. Its crystal system is cubic.

***

no.,spin magnetization (μB/f.u.)
1,0.000
2,0.000
3,0.000
4,10.762